! PBE ZnC, optimized geometry; values from VASP
! **Excess energy over the best structure of this formula in the dataset**: 0.32 kcal/mol of atoms
! **VASP energy**: -7.2 eV for the cell shown
&SYSTEM
  ibrav = 0, nat = 2, ntyp = 2
/
ATOMIC_SPECIES
Zn 65.41 Zn.upf
C 12.01 C.upf
CELL_PARAMETERS angstrom
0.000 2.196 2.196
2.196 0.000 2.196
2.196 2.196 0.000
ATOMIC_POSITIONS angstrom
Zn 0.000 0.000 0.000
C 2.196 2.196 2.196